1.
GdDyCuPb after structural relaxation. Source: Alexandria via LeMat-Bulk, functional PBE-GGA.

```
4
Lattice="5.223 0.000 0.000 2.611 4.523 0.000 2.611 1.508 4.264" Properties=species:S:1:pos:R:3 pbc="T T T"
Pb 7.834 4.523 3.198
Gd 5.223 3.015 2.132
Cu 2.611 1.508 1.066
Dy 0.000 0.000 0.000
```

The calculation puts the size of the total moment at 7.895 μB per formula unit. As for the space group: F-43m (216). For the density of states at the Fermi level, the calculation gives 3.7 states/eV/cell. For the formation energy, the calculation gives -0.32 eV per atom.

---

2.
Sm8Tm3In2 after structural relaxation. Source: Alexandria via LeMat-Bulk, functional PBE-GGA.

```
13
Lattice="-0.442 -4.201 5.010 8.058 -3.878 -2.542 -0.475 7.211 4.496" Properties=species:S:1:pos:R:3 pbc="T T T"
Sm 4.249 -4.738 3.696
Sm 2.893 3.870 3.268
Sm 1.064 -1.410 5.523
Sm 6.079 0.542 1.441
Sm 3.890 0.937 4.763
Sm 0.980 2.338 5.681
Sm 6.162 -3.205 1.283
Sm 3.252 -1.805 2.201
Tm -0.221 -2.101 2.505
Tm 1.346 -0.648 -0.425
Tm 6.712 -3.230 -2.117
In 1.226 0.699 2.820
In 5.916 -1.566 4.144
```

The calculation puts the size of the total moment at 0.000 μB per formula unit. As for the space group: C2/m (12). For the density of states at the Fermi level, the calculation gives 16.9 states/eV/cell. For the formation energy, the calculation gives 0.04 eV per atom.

---

3.
AlNiMoOs after structural relaxation. Source: Alexandria via LeMat-Bulk, functional PBE-GGA.

```
4
Lattice="4.290 0.000 0.000 2.145 3.715 0.000 2.145 1.238 3.503" Properties=species:S:1:pos:R:3 pbc="T T T"
Ni 4.290 2.477 1.751
Mo 6.435 3.715 2.627
Os 0.000 0.000 0.000
Al 2.145 1.238 0.876
```

The calculation puts the size of the total moment at 0.590 μB per formula unit. As for the space group: F-43m (216). For the density of states at the Fermi level, the calculation gives 4.6 states/eV/cell. For the formation energy, the calculation gives -0.17 eV per atom.

---

4.
Zn2WSe after structural relaxation. Source: Alexandria via LeMat-Bulk, functional PBE-GGA.

```
8
Lattice="-4.027 6.172 -1.142 -5.986 -4.185 -1.509 -5.643 1.028 1.103" Properties=species:S:1:pos:R:3 pbc="T T T"
Zn -4.678 3.595 -0.627
Zn -5.653 -1.590 -0.810
Zn -7.983 1.519 -0.166
Zn -12.996 2.508 -1.494
Se -5.006 0.994 -1.326
Se -8.317 -1.081 -0.866
W 0.000 0.000 0.000
W -7.338 4.097 -0.682
```

The calculation puts the size of the total moment at 0.000 μB per formula unit. As for the space group: I-42d (122). For the density of states at the Fermi level, the calculation gives 8.0 states/eV/cell. The total energy is -4.08 eV per atom.

---

5.
Cu2TcPt after structural relaxation. Source: Alexandria via LeMat-Bulk, functional PBE-GGA.

```
4
Lattice="2.671 0.000 0.000 0.000 4.654 0.000 0.000 0.000 4.545" Properties=species:S:1:pos:R:3 pbc="T T T"
Cu 0.000 0.000 0.000
Cu 1.336 2.327 0.000
Pt 1.336 0.000 2.272
Tc 0.000 2.327 2.272
```

The calculation puts the size of the total moment at 0.837 μB per formula unit. As for the space group: Pmmm (47). The value obtained for the polymorph energy (0 for the lowest one) is 173 meV/atom. For the density of states at the Fermi level, the calculation gives 2.8 states/eV/cell. For the formation energy, the calculation gives 0.16 eV per atom.

---

6.
LiSn2Ge after structural relaxation. Source: Alexandria via LeMat-Bulk, functional PBE-GGA.

```
4
Lattice="4.363 0.000 0.000 0.000 4.553 0.000 0.000 0.000 4.553" Properties=species:S:1:pos:R:3 pbc="T T T"
Ge 2.182 2.276 2.276
Sn 0.000 0.000 2.276
Sn 0.000 2.276 0.000
Li 2.182 0.000 0.000
```

The calculation puts the size of the total moment at 0.000 μB per formula unit. As for the space group: P4/mmm (123). For the density of states at the Fermi level, the calculation gives 1.3 states/eV/cell. For the formation energy, the calculation gives -0.09 eV per atom.

---

7.
NaSmDyIn after structural relaxation. Source: Alexandria via LeMat-Bulk, functional PBE-GGA.

```
4
Lattice="5.442 0.000 0.000 2.721 4.713 0.000 2.721 1.571 4.444" Properties=species:S:1:pos:R:3 pbc="T T T"
Na 0.000 0.000 0.000
In 5.442 3.142 2.222
Sm 2.721 1.571 1.111
Dy 8.164 4.713 3.333
```

The calculation puts the size of the total moment at 0.000 μB per formula unit. As for the space group: F-43m (216). For the density of states at the Fermi level, the calculation gives 4.6 states/eV/cell. For the formation energy, the calculation gives -0.13 eV per atom.

---

8.
Tl2WS4 after structural relaxation. Source: Alexandria via LeMat-Bulk, functional PBE-GGA.

```
28
Lattice="6.998 0.000 0.000 0.000 9.927 0.000 0.000 0.000 12.558" Properties=species:S:1:pos:R:3 pbc="T T T"
Tl 5.249 5.518 4.555
Tl 1.750 4.408 8.003
Tl 1.750 9.372 10.834
Tl 5.249 0.555 1.724
Tl 5.249 8.728 7.732
Tl 1.750 1.199 4.826
Tl 1.750 6.162 1.453
Tl 5.249 3.764 11.105
W 5.249 7.449 11.981
W 1.750 2.478 0.577
W 1.750 7.441 5.702
W 5.249 2.486 6.856
S 3.466 6.389 11.239
S 3.533 3.538 1.319
S 3.533 8.501 4.960
S 6.965 3.538 1.319
S 3.466 1.425 7.598
S 0.033 6.389 11.239
S 0.033 1.425 7.598
S 6.965 8.501 4.960
S 5.249 9.570 11.305
S 1.750 0.356 1.253
S 1.750 5.320 5.026
S 5.249 4.607 7.532
S 5.249 2.451 4.650
S 1.750 7.476 7.908
S 1.750 2.512 10.929
S 5.249 7.414 1.629
```

The calculation puts the size of the total moment at 0.000 μB per formula unit. As for the space group: Pnma (62). The value obtained for the polymorph energy (0 for the lowest one) is 0 meV/atom. For the density of states at the Fermi level, the calculation gives 0.0 states/eV/cell.

---

Q: Look up the density of states at the Fermi level of the sixth one.
A: 1.3 states/eV/cell

---

Q: Which value of density of states at the Fermi level does entry 6 give?
A: 1.3 states/eV/cell